This record from Alexandria via LeMat-Bulk describes a relaxed Pu2ZrScSe4 crystal. The functional is GGA-PBE.

Calculated values
Volume ... 22.60 Å³ per atom
Energy relative to the elements, uncorrected ... -1.443 eV/atom
N(E_F) ... 15.21 states/eV per cell
Uncorrected energy ... -69.02 eV per cell

Cell lengths 6.814, 3.995, 7.046 Å; angles 90.00, 109.52, 90.00 degrees
Space group P2/m (No. 10)
Unique sites:
Pu1 0.000 0.000 0.000 x1
Pu2 0.000 0.500 0.500 x1
Zr1 0.500 0.000 0.500 x1
Sc1 0.500 0.500 0.000 x1
Se1 0.265 0.500 0.252 x2
Se2 0.268 0.000 0.758 x2